# 1
A plane-wave DFT calculation with PBE-GGA was carried out for a relaxed SrTiInSb2 crystal.

Cell and atoms, written as POSCAR:
```
SrTiInSb2
1.0
-5.622 -0.278 -1.525
-1.257 -1.707 4.943
-0.740 5.524 1.719
Sb Ti Sr In
2 1 1 1
Cartesian
-0.370 2.762 0.860 Sb
-2.811 -0.139 -0.763 Sb
-0.628 -0.853 2.471 Ti
-3.809 1.769 2.568 Sr
0.000 0.000 0.000 In
```

Properties
The formation energy (no corrections) is 185 kJ/mol of formula units. The space-group type is P4/mmm, No. 123.

***

# 2
A plane-wave DFT calculation with PBE-GGA was carried out for a relaxed NaTb2CdHg4 crystal.

Cell and atoms, written as POSCAR:
```
NaTb2CdHg4
1.0
-4.072 -2.619 -1.680
0.658 -4.221 -2.830
-1.019 -6.953 5.494
Hg Na Tb Cd
4 1 2 1
Cartesian
-3.367 -8.634 -1.824 Hg
-1.064 -5.159 2.807 Hg
-2.172 -8.607 3.052 Hg
-2.260 -5.187 -2.069 Hg
-2.216 -6.897 0.492 Na
-1.109 -3.404 0.180 Tb
-3.323 -10.389 0.803 Tb
0.000 0.000 0.000 Cd
```

Properties
As for the calculated formation energy: -0.37 eV/atom. The space-group type is R-3m, No. 166.

***

# 3
A plane-wave DFT calculation with PBE-GGA was carried out for a relaxed AcEr4 crystal.

Cell and atoms, written as POSCAR:
```
AcEr4
1.0
5.837 0.000 0.000
0.000 5.837 0.000
0.000 0.000 5.837
Er Ac
4 1
Cartesian
0.000 0.000 0.000 Er
2.919 2.919 0.000 Er
0.000 2.919 2.919 Er
2.919 0.000 2.919 Er
2.919 2.919 2.919 Ac
```

Properties
As for the distance to the lowest polymorph of the same formula: 5.075 eV per formula unit. As for the calculated formation energy: 1.07 eV/atom. The space-group type is Pm-3m, No. 221.

***

# 4
A plane-wave DFT calculation with PBE-GGA was carried out for a relaxed Sm4UN5 crystal.

Cell and atoms, written as POSCAR:
```
Sm4UN5
1.0
-3.355 -2.570 2.720
-2.605 -4.679 -2.990
2.384 -4.691 3.152
Sm N U
4 5 1
Cartesian
-0.481 -6.657 2.414 Sm
-3.102 -5.288 0.474 Sm
-0.240 -3.331 1.211 Sm
-3.344 -8.614 1.677 Sm
-1.524 -7.525 0.307 N
-1.536 -4.073 -1.090 N
-1.679 -1.286 1.361 N
-2.047 -7.872 3.977 N
-2.059 -4.420 2.581 N
-0.004 -0.003 0.003 U
```

Properties
The formation energy (no corrections) is -1456 kJ/mol of formula units. The space-group type is I4/m, No. 87.

***

# 5
A plane-wave DFT calculation with PBE-GGA was carried out for a relaxed Na2CdH4 crystal.

Cell and atoms, written as POSCAR:
```
Na2CdH4
1.0
3.948 0.000 0.000
0.000 3.948 0.000
1.974 1.974 6.027
H Na Cd
4 2 1
Cartesian
0.000 1.974 0.000 H
1.974 1.974 3.992 H
1.974 0.000 0.000 H
3.948 3.948 2.035 H
3.948 3.948 4.259 Na
1.974 1.974 1.768 Na
0.000 0.000 0.000 Cd
```

Properties
As for the distance to the lowest polymorph of the same formula: 0.582 eV per formula unit. The space-group type is I4/mmm, No. 139.

***

# 6
A plane-wave DFT calculation with PBE-GGA was carried out for a relaxed P2RuWCl crystal.

Cell and atoms, written as POSCAR:
```
P2RuWCl
1.0
-4.516 0.972 -0.918
-1.276 -4.097 1.941
-0.396 2.102 4.176
W P Cl Ru
1 2 1 1
Cartesian
0.000 0.000 0.000 W
-2.258 0.486 -0.459 P
-0.638 -2.049 0.971 P
-0.198 1.051 2.088 Cl
-3.094 -0.511 2.600 Ru
```

Properties
The formation energy (no corrections) is 513 kJ/mol of formula units. As for the distance to the lowest polymorph of the same formula: 0.000 eV per formula unit. The space-group type is P4/mmm, No. 123.